# 1
DFT (PBE) results for a geometry-optimized OsRuSe2 structure.

For the energy, the calculation gives -50.24 eV for the cell shown. Its relative energy among the computed polymorphs is 431.3 meV/atom.

The structure belongs to space group Cmm2 (No. 35); the cell edges are 2.8636, 5.0064 and 10.0689 Å and the angles 90.00°, 90.00° and 90.00°. Symmetry generates all atoms from Os at (0.0000, 0.0000, 0.0000), Ru at (0.0000, 0.5000, 0.2250), Se at (0.0000, 0.0000, 0.4299) and Se at (0.0000, 0.5000, 0.7913).

---

# 2
DFT (PBE) results for a geometry-optimized Os2RuSe structure.

For the energy, the calculation gives -65.97 eV for the cell shown.

The structure belongs to space group Immm (No. 71); the cell edges are 2.9056, 4.4030 and 9.2226 Å and the angles 90.00°, 90.00° and 90.00°. Symmetry generates all atoms from Os at (0.0000, 0.0000, 0.2223), Ru at (0.0000, 0.5000, 0.0000) and Se at (0.0000, 0.5000, 0.5000).

---

# 3
DFT (PBE) results for a geometry-optimized Os3RuSe structure.

For the energy, the calculation gives -34.24 eV for the cell shown. Its relative energy among the computed polymorphs is 388.5 meV/atom.

The structure belongs to space group Pm-3m (No. 221); the cell edges are 4.6752, 4.6752 and 4.6752 Å and the angles 90.00°, 90.00° and 90.00°. Symmetry generates all atoms from Os at (0.0000, 0.0000, 0.5000), Ru at (0.0000, 0.0000, 0.0000) and Se at (0.5000, 0.5000, 0.5000).

---

# 4
DFT (PBE) results for a geometry-optimized OsRu2Se structure.

For the energy, the calculation gives -61.73 eV for the cell shown.

The structure belongs to space group I-4m2 (No. 119); the cell edges are 3.9631, 3.9631 and 7.4605 Å and the angles 90.00°, 90.00° and 90.00°. Symmetry generates all atoms from Os at (0.0000, 0.0000, 0.0000), Ru at (0.0000, 0.0000, 0.5000), Ru at (0.0000, 0.5000, 0.7500) and Se at (0.0000, 0.5000, 0.2500).

---

# 5
DFT (PBE) results for a geometry-optimized OsRuSe2 structure.

For the energy, the calculation gives -94.31 eV for the cell shown. Its relative energy among the computed polymorphs is 816.9 meV/atom.

The structure belongs to space group F-43m (No. 216); the cell edges are 6.3776, 6.3776 and 6.3776 Å and the angles 90.00°, 90.00° and 90.00°. Symmetry generates all atoms from Os at (0.0000, 0.0000, 0.0000), Ru at (0.2500, 0.2500, 0.2500), Se at (0.0000, 0.0000, 0.5000) and Se at (0.2500, 0.2500, 0.7500).

---

# 6
DFT (PBE) results for a geometry-optimized OsRuSe2 structure.

For the energy, the calculation gives -24.01 eV for the cell shown. Its relative energy among the computed polymorphs is 709.4 meV/atom.

The structure belongs to space group Pmmm (No. 47); the cell edges are 2.9141, 4.3826 and 5.0266 Å and the angles 90.00°, 90.00° and 90.00°. Symmetry generates all atoms from Os at (0.0000, 0.0000, 0.0000), Ru at (0.5000, 0.0000, 0.5000), Se at (0.0000, 0.5000, 0.5000) and Se at (0.5000, 0.5000, 0.0000).